Entry 1:
# Ba2Zn7Cd

A relaxed Ba2Zn7Cd crystal (GGA-PBE, Alexandria). Values from VASP.

Calculated values
size of the total moment: 0.00 μB per formula unit
final energy: -1.55 eV/atom
ΔH_f (0 K): -0.1794 eV/atom

```
&SYSTEM
  ibrav = 0, nat = 10, ntyp = 3
/
ATOMIC_SPECIES
Ba 137.33 Ba.upf
Zn 65.41 Zn.upf
Cd 112.41 Cd.upf
CELL_PARAMETERS angstrom
4.608 0.000 0.000
0.000 4.608 0.000
0.000 0.000 11.063
ATOMIC_POSITIONS crystal
Ba 0.000 0.500 0.241
Ba 0.500 0.000 0.759
Zn 0.000 0.000 0.000
Zn 0.000 0.500 0.639
Zn 0.000 0.500 0.883
Zn 0.500 0.000 0.117
Zn 0.500 0.000 0.361
Zn 0.500 0.500 0.000
Zn 0.500 0.500 0.500
Cd 0.000 0.000 0.500
```

Entry 2:
# CuPdPt5

A relaxed CuPdPt5 crystal (GGA-PBE, Alexandria). Values from VASP.

Calculated values
size of the total moment: 0.00 μB per formula unit
final energy: -5.23 eV/atom
ΔH_f (0 K): 0.4157 eV/atom

```
&SYSTEM
  ibrav = 0, nat = 7, ntyp = 3
/
ATOMIC_SPECIES
Cu 63.55 Cu.upf
Pd 106.42 Pd.upf
Pt 195.08 Pt.upf
CELL_PARAMETERS angstrom
-2.551 3.482 3.556
2.551 -3.482 3.556
2.551 3.482 -3.556
ATOMIC_POSITIONS crystal
Cu 0.000 0.000 0.000
Pd 0.656 0.156 0.500
Pt 0.002 0.502 0.500
Pt 0.332 0.088 0.755
Pt 0.332 0.577 0.245
Pt 0.494 0.676 0.817
Pt 0.859 0.676 0.183
```

Entry 3:
# BTe2ICl

A relaxed BTe2ICl crystal (GGA-PBE, Alexandria). Values from VASP.

Calculated values
raw formation energy: 3.48 eV/f.u.
size of the total moment: 0.00 μB per formula unit
final energy: -2.58 eV/atom

```
&SYSTEM
  ibrav = 0, nat = 5, ntyp = 4
/
ATOMIC_SPECIES
B 10.81 B.upf
Te 127.60 Te.upf
I 126.90 I.upf
Cl 35.45 Cl.upf
CELL_PARAMETERS angstrom
4.944 0.000 0.000
0.000 4.944 0.000
0.000 0.000 5.068
ATOMIC_POSITIONS crystal
B 0.000 0.000 0.000
Te 0.000 0.500 0.000
Te 0.500 0.000 0.000
I 0.000 0.000 0.500
Cl 0.500 0.500 0.500
```

Entry 4:
# HfThCd4

A relaxed HfThCd4 crystal (GGA-PBE, Alexandria). Values from VASP.

Calculated values
size of the total moment: 2.04 μB per formula unit
final energy: -3.49 eV/atom
ΔH_f (0 K): 0.0115 eV/atom

```
&SYSTEM
  ibrav = 0, nat = 6, ntyp = 3
/
ATOMIC_SPECIES
Hf 178.49 Hf.upf
Th 232.04 Th.upf
Cd 112.41 Cd.upf
CELL_PARAMETERS angstrom
0.000 4.131 4.131
4.131 0.000 4.131
4.131 4.131 0.000
ATOMIC_POSITIONS crystal
Hf 0.000 0.000 0.000
Th 0.250 0.250 0.250
Cd 0.123 0.626 0.626
Cd 0.626 0.123 0.626
Cd 0.626 0.626 0.123
Cd 0.626 0.626 0.626
```

Number 2 is which compound?
CuPdPt5

Look up the size of the total moment of the second one.
0.00 μB per formula unit